# Rb2Te2Au PBE optimized geometry
# Raw total energy, eV/atom: -2.84
# Formation energy from raw total energies, eV per atom: -0.545
# N(E_F), states/eV/atom: 0.263
# Volume, A^3/atom: 35.8
data_Rb2Te2Au
_cell_length_a 7.9372
_cell_length_b 7.9372
_cell_length_c 5.6893
_cell_angle_alpha 90.00
_cell_angle_beta 90.00
_cell_angle_gamma 90.00
_symmetry_space_group_name_H-M 'P 4/m b m'
_symmetry_Int_Tables_number 127
_symmetry_space_group_name_Hall '-P 4 2ab'
loop_
_atom_site_label
_atom_site_type_symbol
_atom_site_fract_x
_atom_site_fract_y
_atom_site_fract_z
_atom_site_occupancy
Rb1 Rb 0.1534 0.3466 0.0000 1
Te1 Te 0.1659 0.6659 0.5000 1
Au1 Au 0.0000 0.0000 0.5000 1